(1)
# YTe2AsI meta-GGA SCAN single point on PBEsol structure
# raw total energy: -31.888 eV/atom
# uncorrected formation energy: -0.03 eV per atom
data_YTe2AsI
_chemical_formula_sum 'Y1 Te2 As1 I1'
_space_group_name_H-M_alt 'P 4/m m m'
_space_group_IT_number 123
_space_group_name_Hall '-P 4 2'
_cell_length_a 5.820
_cell_length_b 5.820
_cell_length_c 5.717
_cell_angle_alpha 90.00
_cell_angle_beta 90.00
_cell_angle_gamma 90.00
loop_
_atom_site_label
_atom_site_fract_x
_atom_site_fract_y
_atom_site_fract_z
Y1 0.000 0.000 0.000
Te1 0.000 0.500 0.000
As1 0.500 0.500 0.500
I1 0.000 0.000 0.500


(2)
# Ti2AsI meta-GGA SCAN single point on PBEsol structure
# raw total energy: -22.489 eV/atom
# uncorrected formation energy: -0.24 eV per atom
data_Ti2AsI
_chemical_formula_sum 'Ti8 As4 I4'
_space_group_name_H-M_alt 'F m -3 m'
_space_group_IT_number 225
_space_group_name_Hall '-F 4 2 3'
_cell_length_a 6.549
_cell_length_b 6.549
_cell_length_c 6.549
_cell_angle_alpha 90.00
_cell_angle_beta 90.00
_cell_angle_gamma 90.00
loop_
_atom_site_label
_atom_site_fract_x
_atom_site_fract_y
_atom_site_fract_z
Ti1 0.250 0.250 0.250
As1 0.000 0.000 0.000
I1 0.000 0.000 0.500


(3)
# Ti2AsI meta-GGA SCAN single point on PBEsol structure
# raw total energy: -22.388 eV/atom
# uncorrected formation energy: -0.14 eV per atom
data_Ti2AsI
_chemical_formula_sum 'Ti8 As4 I4'
_space_group_name_H-M_alt 'I -4 2 d'
_space_group_IT_number 122
_space_group_name_Hall 'I -4 2bw'
_cell_length_a 5.279
_cell_length_b 5.279
_cell_length_c 14.744
_cell_angle_alpha 90.00
_cell_angle_beta 90.00
_cell_angle_gamma 90.00
loop_
_atom_site_label
_atom_site_fract_x
_atom_site_fract_y
_atom_site_fract_z
Ti1 0.192 0.250 0.125
As1 0.000 0.000 0.000
I1 0.000 0.000 0.500


(4)
# Tl3AsI meta-GGA SCAN single point on PBEsol structure
# excess energy over the best structure of this formula in the dataset: 0 meV/atom
# raw total energy: -54.837 eV/atom
# uncorrected formation energy: -0.04 eV per atom
data_Tl3AsI
_chemical_formula_sum 'Tl3 As1 I1'
_space_group_name_H-M_alt 'P m -3 m'
_space_group_IT_number 221
_space_group_name_Hall '-P 4 2 3'
_cell_length_a 5.605
_cell_length_b 5.605
_cell_length_c 5.605
_cell_angle_alpha 90.00
_cell_angle_beta 90.00
_cell_angle_gamma 90.00
loop_
_atom_site_label
_atom_site_fract_x
_atom_site_fract_y
_atom_site_fract_z
Tl1 0.000 0.000 0.500
As1 0.000 0.000 0.000
I1 0.500 0.500 0.500


(5)
# Tl3AsI meta-GGA SCAN single point on PBEsol structure
# excess energy over the best structure of this formula in the dataset: 628 meV/atom
# raw total energy: -54.209 eV/atom
# uncorrected formation energy: 0.59 eV per atom
data_Tl3AsI
_chemical_formula_sum 'Tl3 As1 I1'
_space_group_name_H-M_alt 'P m -3 m'
_space_group_IT_number 221
_space_group_name_Hall '-P 4 2 3'
_cell_length_a 6.182
_cell_length_b 6.182
_cell_length_c 6.182
_cell_angle_alpha 90.00
_cell_angle_beta 90.00
_cell_angle_gamma 90.00
loop_
_atom_site_label
_atom_site_fract_x
_atom_site_fract_y
_atom_site_fract_z
Tl1 0.000 0.000 0.500
As1 0.500 0.500 0.500
I1 0.000 0.000 0.000


(6)
# Tl2AsI meta-GGA SCAN single point on PBEsol structure
# raw total energy: -50.258 eV/atom
# uncorrected formation energy: 0.15 eV per atom
data_Tl2AsI
_chemical_formula_sum 'Tl8 As4 I4'
_space_group_name_H-M_alt 'F m -3 m'
_space_group_IT_number 225
_space_group_name_Hall '-F 4 2 3'
_cell_length_a 7.661
_cell_length_b 7.661
_cell_length_c 7.661
_cell_angle_alpha 90.00
_cell_angle_beta 90.00
_cell_angle_gamma 90.00
loop_
_atom_site_label
_atom_site_fract_x
_atom_site_fract_y
_atom_site_fract_z
Tl1 0.250 0.250 0.250
As1 0.000 0.000 0.000
I1 0.000 0.000 0.500


(7)
# AsWI3 meta-GGA SCAN single point on PBEsol structure
# raw total energy: -38.576 eV/atom
# uncorrected formation energy: 1.44 eV per atom
data_AsWI3
_chemical_formula_sum 'As1 W1 I3'
_space_group_name_H-M_alt 'P m -3 m'
_space_group_IT_number 221
_space_group_name_Hall '-P 4 2 3'
_cell_length_a 5.554
_cell_length_b 5.554
_cell_length_c 5.554
_cell_angle_alpha 90.00
_cell_angle_beta 90.00
_cell_angle_gamma 90.00
loop_
_atom_site_label
_atom_site_fract_x
_atom_site_fract_y
_atom_site_fract_z
As1 0.000 0.000 0.000
W1 0.500 0.500 0.500
I1 0.000 0.000 0.500


(8)
# YAs2I meta-GGA SCAN single point on PBEsol structure
# raw total energy: -26.172 eV/atom
# uncorrected formation energy: 0.07 eV per atom
data_YAs2I
_chemical_formula_sum 'Y4 As8 I4'
_space_group_name_H-M_alt 'F m -3 m'
_space_group_IT_number 225
_space_group_name_Hall '-F 4 2 3'
_cell_length_a 7.214
_cell_length_b 7.214
_cell_length_c 7.214
_cell_angle_alpha 90.00
_cell_angle_beta 90.00
_cell_angle_gamma 90.00
loop_
_atom_site_label
_atom_site_fract_x
_atom_site_fract_y
_atom_site_fract_z
Y1 0.000 0.000 0.000
As1 0.250 0.250 0.250
I1 0.000 0.000 0.500


(9)
# Zn2AsI meta-GGA SCAN single point on PBEsol structure
# raw total energy: -21.330 eV/atom
# uncorrected formation energy: -0.34 eV per atom
data_Zn2AsI
_chemical_formula_sum 'Zn8 As4 I4'
_space_group_name_H-M_alt 'I -4 2 d'
_space_group_IT_number 122
_space_group_name_Hall 'I -4 2bw'
_cell_length_a 5.966
_cell_length_b 5.966
_cell_length_c 11.933
_cell_angle_alpha 90.00
_cell_angle_beta 90.00
_cell_angle_gamma 90.00
loop_
_atom_site_label
_atom_site_fract_x
_atom_site_fract_y
_atom_site_fract_z
Zn1 0.181 0.250 0.125
As1 0.000 0.000 0.000
I1 0.000 0.000 0.500


(10)
# ZnAsI3 meta-GGA SCAN single point on PBEsol structure
# raw total energy: -28.391 eV/atom
# uncorrected formation energy: 0.39 eV per atom
data_ZnAsI3
_chemical_formula_sum 'Zn1 As1 I3'
_space_group_name_H-M_alt 'P m -3 m'
_space_group_IT_number 221
_space_group_name_Hall '-P 4 2 3'
_cell_length_a 5.446
_cell_length_b 5.446
_cell_length_c 5.446
_cell_angle_alpha 90.00
_cell_angle_beta 90.00
_cell_angle_gamma 90.00
loop_
_atom_site_label
_atom_site_fract_x
_atom_site_fract_y
_atom_site_fract_z
Zn1 0.000 0.000 0.000
As1 0.500 0.500 0.500
I1 0.000 0.000 0.500


(11)
# Zr2AsI meta-GGA SCAN single point on PBEsol structure
# raw total energy: -29.626 eV/atom
# uncorrected formation energy: -0.04 eV per atom
data_Zr2AsI
_chemical_formula_sum 'Zr8 As4 I4'
_space_group_name_H-M_alt 'I -4 2 d'
_space_group_IT_number 122
_space_group_name_Hall 'I -4 2bw'
_cell_length_a 5.111
_cell_length_b 5.111
_cell_length_c 16.524
_cell_angle_alpha 90.00
_cell_angle_beta 90.00
_cell_angle_gamma 90.00
loop_
_atom_site_label
_atom_site_fract_x
_atom_site_fract_y
_atom_site_fract_z
Zr1 0.200 0.250 0.125
As1 0.000 0.000 0.000
I1 0.000 0.000 0.500


(12)
# ZrAs2I meta-GGA SCAN single point on PBEsol structure
# raw total energy: -26.626 eV/atom
# uncorrected formation energy: 0.33 eV per atom
data_ZrAs2I
_chemical_formula_sum 'Zr4 As8 I4'
_space_group_name_H-M_alt 'F m -3 m'
_space_group_IT_number 225
_space_group_name_Hall '-F 4 2 3'
_cell_length_a 6.964
_cell_length_b 6.964
_cell_length_c 6.964
_cell_angle_alpha 90.00
_cell_angle_beta 90.00
_cell_angle_gamma 90.00
loop_
_atom_site_label
_atom_site_fract_x
_atom_site_fract_y
_atom_site_fract_z
Zr1 0.000 0.000 0.000
As1 0.250 0.250 0.250
I1 0.000 0.000 0.500